1:
MnCrCuGeOs | PBE | relaxed

Cell lengths 6.336, 2.732, 8.428 Å; angles 90.00, 112.09, 90.00 degrees
Fractional coordinates of all 10 atoms:
Cu 0.063 0.000 0.096
Cu 0.063 0.500 0.596
Ge 0.485 0.000 0.210
Ge 0.485 0.500 0.710
Cr 0.699 0.000 0.538
Cr 0.699 0.500 0.038
Os 0.288 0.000 0.884
Os 0.288 0.500 0.384
Mn 0.908 0.000 0.326
Mn 0.908 0.500 0.826

2:
MnCrCuGeOs | PBE | relaxed

Cell lengths 2.930, 3.881, 6.633 Å; angles 90.00, 102.74, 90.00 degrees
Fractional coordinates of all 5 atoms:
Ge 0.869 0.000 0.180
Mn 0.090 0.500 0.623
Os 0.431 0.500 0.305
Cr 0.591 0.000 0.625
Cu 0.746 0.500 0.934

Least stable structure: 2

1:
CrCuH3 | PBE | relaxed

Cell lengths 3.380, 3.380, 3.380 Å; angles 90.00, 90.00, 90.00 degrees
Fractional coordinates of all 5 atoms:
H 0.500 0.000 0.000
H 0.000 0.500 0.000
H 0.000 0.000 0.500
Cr 0.500 0.500 0.500
Cu 0.000 0.000 0.000

2:
CrCuH3 | PBE | relaxed

Cell lengths 3.355, 3.355, 3.355 Å; angles 90.00, 90.00, 90.00 degrees
Fractional coordinates of all 5 atoms:
H 0.500 0.000 0.000
H 0.000 0.500 0.000
H 0.000 0.000 0.500
Cr 0.000 0.000 0.000
Cu 0.500 0.500 0.500

Least stable structure: 1

1:
CrCu2H | PBE | relaxed

Cell lengths 5.042, 5.042, 4.860 Å; angles 58.75, 58.75, 90.00 degrees
Fractional coordinates of all 8 atoms:
H 0.250 0.750 0.500
H 0.500 0.500 0.000
Cu 0.282 0.625 0.250
Cu 0.468 0.125 0.250
Cu 0.375 0.532 0.750
Cu 0.875 0.718 0.750
Cr 0.000 0.000 0.000
Cr 0.750 0.250 0.500

2:
CrCu2H | PBE | relaxed

Cell lengths 4.056, 4.056, 4.056 Å; angles 60.00, 60.00, 60.00 degrees
Fractional coordinates of all 4 atoms:
Cu 0.750 0.750 0.750
Cu 0.250 0.250 0.250
Cr 0.500 0.500 0.500
H 0.000 0.000 0.000

Least stable structure: 2

1:
CrCuH2 | PBE | relaxed

Cell lengths 3.591, 3.591, 3.591 Å; angles 60.00, 60.00, 60.00 degrees
Fractional coordinates of all 4 atoms:
Cr 0.000 0.000 0.000
Cu 0.500 0.500 0.500
H 0.250 0.250 0.250
H 0.750 0.750 0.750

2:
CrCuH2 | PBE | relaxed

Cell lengths 2.679, 2.679, 5.120 Å; angles 74.83, 74.83, 60.00 degrees
Fractional coordinates of all 4 atoms:
Cr 0.670 0.670 0.990
H 0.274 0.274 0.177
H 0.064 0.064 0.808
Cu 0.492 0.492 0.525

Least stable structure: 1

1:
CrCuH2 | PBE | relaxed

Cell lengths 2.737, 2.737, 5.069 Å; angles 74.33, 74.33, 60.00 degrees
Fractional coordinates of all 4 atoms:
Cu 0.000 0.000 0.000
H 0.885 0.885 0.345
H 0.115 0.115 0.655
Cr 0.500 0.500 0.500

2:
CrCuH2 | PBE | relaxed

Cell lengths 4.068, 4.068, 4.704 Å; angles 64.38, 64.38, 90.00 degrees
Fractional coordinates of all 8 atoms:
H 0.621 0.125 0.250
H 0.129 0.625 0.250
H 0.875 0.871 0.750
H 0.375 0.379 0.750
Cr 0.250 0.750 0.500
Cr 0.500 0.500 0.000
Cu 0.000 0.000 0.000
Cu 0.750 0.250 0.500

Least stable structure: 2

1:
CrCu2H2 | PBE | relaxed

Cell lengths 2.606, 2.606, 6.501 Å; angles 78.44, 78.44, 90.00 degrees
Fractional coordinates of all 5 atoms:
H 0.750 0.250 0.500
H 0.250 0.750 0.500
Cu 0.348 0.348 0.305
Cu 0.652 0.652 0.695
Cr 0.000 0.000 0.000

2:
CrCu2H2 | PBE | relaxed

Cell lengths 4.987, 4.987, 3.753 Å; angles 90.00, 90.00, 90.00 degrees
Fractional coordinates of all 10 atoms:
H 0.820 0.320 0.000
H 0.680 0.820 0.000
H 0.320 0.180 0.000
H 0.180 0.680 0.000
Cu 0.181 0.681 0.500
Cu 0.319 0.181 0.500
Cu 0.819 0.319 0.500
Cu 0.681 0.819 0.500
Cr 0.500 0.500 0.000
Cr 0.000 0.000 0.000

Least stable structure: 1

1:
Cr3CuH | PBE | relaxed

Cell lengths 3.656, 3.656, 3.656 Å; angles 90.00, 90.00, 90.00 degrees
Fractional coordinates of all 5 atoms:
H 0.000 0.000 0.000
Cr 0.000 0.000 0.500
Cr 0.000 0.500 0.000
Cr 0.500 0.000 0.000
Cu 0.500 0.500 0.500

2:
Cr3CuH | PBE | relaxed

Cell lengths 4.715, 4.715, 4.715 Å; angles 90.00, 90.00, 90.00 degrees
Fractional coordinates of all 5 atoms:
Cu 0.000 0.000 0.000
Cr 0.000 0.000 0.500
Cr 0.500 0.000 0.000
Cr 0.000 0.500 0.000
H 0.500 0.500 0.500

Least stable structure: 2

1:
CrCuH | PBE | relaxed

Cell lengths 5.945, 2.864, 6.579 Å; angles 90.00, 90.00, 90.00 degrees
Fractional coordinates of all 12 atoms:
Cu 0.993 0.750 0.157
Cu 0.493 0.750 0.343
Cu 0.007 0.250 0.843
Cu 0.507 0.250 0.657
H 0.138 0.750 0.647
H 0.862 0.250 0.353
H 0.362 0.250 0.147
H 0.638 0.750 0.853
Cr 0.864 0.750 0.536
Cr 0.636 0.250 0.036
Cr 0.136 0.250 0.464
Cr 0.364 0.750 0.964

2:
CrCuH | PBE | relaxed

Cell lengths 5.362, 2.600, 8.514 Å; angles 90.00, 90.00, 90.00 degrees
Fractional coordinates of all 12 atoms:
Cu 0.891 0.250 0.389
Cu 0.609 0.750 0.889
Cu 0.391 0.250 0.111
Cu 0.109 0.750 0.611
Cr 0.893 0.250 0.078
Cr 0.607 0.750 0.578
Cr 0.107 0.750 0.922
Cr 0.393 0.250 0.422
H 0.598 0.250 0.733
H 0.402 0.750 0.267
H 0.098 0.250 0.767
H 0.902 0.750 0.233

3:
CrCuH | PBE | relaxed

Cell lengths 4.590, 5.137, 4.578 Å; angles 90.00, 90.00, 90.00 degrees
Fractional coordinates of all 12 atoms:
Cu 0.000 0.000 0.000
Cu 0.500 0.500 0.500
Cu 0.000 0.500 0.000
Cu 0.500 0.000 0.500
Cr 0.998 0.250 0.495
Cr 0.502 0.750 0.995
Cr 0.498 0.250 0.005
Cr 0.002 0.750 0.505
H 0.816 0.250 0.817
H 0.184 0.750 0.183
H 0.684 0.750 0.317
H 0.316 0.250 0.683

Least stable structure: 3

1:
CrCuNi2H | PBE | relaxed

Cell lengths 3.643, 3.643, 3.736 Å; angles 90.00, 90.00, 90.00 degrees
Fractional coordinates of all 5 atoms:
Ni 0.000 0.500 0.000
Ni 0.500 0.000 0.000
Cr 0.000 0.000 0.500
Cu 0.500 0.500 0.500
H 0.000 0.000 0.000

2:
CrCuNi2H | PBE | relaxed

Cell lengths 3.677, 3.677, 3.682 Å; angles 90.00, 90.00, 90.00 degrees
Fractional coordinates of all 5 atoms:
Ni 0.000 0.500 0.000
Ni 0.500 0.000 0.000
H 0.000 0.000 0.000
Cr 0.500 0.500 0.500
Cu 0.000 0.000 0.500

Least stable structure: 2

1:
Cr2CuHRh | PBE | relaxed

Cell lengths 3.686, 3.686, 3.841 Å; angles 90.00, 90.00, 90.00 degrees
Fractional coordinates of all 5 atoms:
Rh 0.500 0.500 0.500
Cr 0.500 0.000 0.000
Cr 0.000 0.500 0.000
Cu 0.000 0.000 0.500
H 0.000 0.000 0.000

2:
Cr2CuHRh | PBE | relaxed

Cell lengths 4.713, 4.705, 4.713 Å; angles 90.00, 90.00, 90.00 degrees
Fractional coordinates of all 5 atoms:
Cr 0.000 0.000 0.500
Cr 0.500 0.000 0.000
Rh 0.000 0.000 0.000
Cu 0.000 0.500 0.000
H 0.500 0.500 0.500

Least stable structure: 2

1:
CrCuHRh2 | PBE | relaxed

Cell lengths 3.878, 3.878, 3.777 Å; angles 90.00, 90.00, 90.00 degrees
Fractional coordinates of all 5 atoms:
Cu 0.500 0.500 0.500
Rh 0.500 0.000 0.000
Rh 0.000 0.500 0.000
Cr 0.000 0.000 0.500
H 0.000 0.000 0.000

2:
CrCuHRh2 | PBE | relaxed

Cell lengths 3.921, 3.921, 3.684 Å; angles 90.00, 90.00, 90.00 degrees
Fractional coordinates of all 5 atoms:
Rh 0.000 0.500 0.000
Rh 0.500 0.000 0.000
H 0.000 0.000 0.000
Cr 0.500 0.500 0.500
Cu 0.000 0.000 0.500

Least stable structure: 1

1:
Cr2CuHRu | PBE | relaxed

Cell lengths 3.706, 3.706, 3.745 Å; angles 90.00, 90.00, 90.00 degrees
Fractional coordinates of all 5 atoms:
Cr 0.000 0.500 0.000
Cr 0.500 0.000 0.000
Cu 0.000 0.000 0.500
H 0.000 0.000 0.000
Ru 0.500 0.500 0.500

2:
Cr2CuHRu | PBE | relaxed

Cell lengths 3.702, 3.702, 3.786 Å; angles 90.00, 90.00, 90.00 degrees
Fractional coordinates of all 5 atoms:
Cu 0.500 0.500 0.500
H 0.000 0.000 0.000
Ru 0.000 0.000 0.500
Cr 0.500 0.000 0.000
Cr 0.000 0.500 0.000

Least stable structure: 1

1:
Ta2CrCuH | PBE | relaxed

Cell lengths 4.234, 4.234, 3.488 Å; angles 90.00, 90.00, 90.00 degrees
Fractional coordinates of all 5 atoms:
Ta 0.500 0.000 0.000
Ta 0.000 0.500 0.000
H 0.000 0.000 0.000
Cu 0.500 0.500 0.500
Cr 0.000 0.000 0.500

2:
Ta2CrCuH | PBE | relaxed

Cell lengths 4.289, 4.289, 3.393 Å; angles 90.00, 90.00, 90.00 degrees
Fractional coordinates of all 5 atoms:
H 0.000 0.000 0.000
Cu 0.000 0.000 0.500
Cr 0.500 0.500 0.500
Ta 0.000 0.500 0.000
Ta 0.500 0.000 0.000

Least stable structure: 2